1.
Compound: Er4TmHg2
Source: Alexandria
Functional: PBE
Structure: optimized geometry

## Properties
Formation energy = 0.03 eV/atom
Calculated total energy = -23.1 eV per cell
Fermi-level density of states = 6.6 states/eV/cell
Calculated density = 9.45 g/cm³
Symmetry = R-3m, No. 166

Structure (POSCAR):
```
Er4TmHg2
1.0
2.5138 1.4514 9.9518
-2.5138 1.4514 9.9518
0.0000 -2.9027 9.9518
Er Tm Hg
4 1 2
Direct
0.1073 0.1073 0.1073
0.2966 0.2966 0.2966
0.7034 0.7034 0.7034
0.8927 0.8927 0.8927
0.5000 0.5000 0.5000
0.3994 0.3994 0.3994
0.6006 0.6006 0.6006
```

2.
Compound: ZrRu2
Source: Alexandria
Functional: PBE
Structure: optimized geometry

## Properties
Formation energy = -0.13 eV/atom
Calculated total energy = -55.0 eV per cell
Fermi-level density of states = 8.7 states/eV/cell
Calculated density = 9.92 g/cm³
Symmetry = P6_3/mmc, No. 194

Structure (POSCAR):
```
ZrRu2
1.0
4.5099 0.0000 0.0000
-2.2550 3.9057 0.0000
0.0000 0.0000 5.5771
Zr Ru
2 4
Direct
0.3333 0.6667 0.2500
0.6667 0.3333 0.7500
0.0000 0.0000 0.0000
0.0000 0.0000 0.5000
0.3333 0.6667 0.7500
0.6667 0.3333 0.2500
```

3.
Compound: K4Ac3PmO8
Source: Alexandria
Functional: PBE
Structure: optimized geometry

## Properties
Calculated total energy = -102.3 eV per cell
Fermi-level density of states = 0.0 states/eV/cell
Calculated density = 5.80 g/cm³
Symmetry = R-3m, No. 166

Structure (POSCAR):
```
K4Ac3PmO8
1.0
3.8041 2.1963 6.3460
-3.8041 2.1963 6.3460
0.0000 -4.3926 6.3460
K Ac Pm O
4 3 1 8
Direct
0.0000 0.0000 0.0000
0.0000 0.5000 0.5000
0.5000 0.0000 0.5000
0.5000 0.5000 0.0000
0.0000 0.0000 0.5000
0.0000 0.5000 0.0000
0.5000 0.0000 0.0000
0.5000 0.5000 0.5000
0.2321 0.2321 0.2321
0.2428 0.7248 0.7248
0.2752 0.2752 0.7572
0.2752 0.7572 0.2752
0.7248 0.2428 0.7248
0.7248 0.7248 0.2428
0.7572 0.2752 0.2752
0.7679 0.7679 0.7679
```

4.
Compound: BaSr2Ti
Source: Alexandria
Functional: PBE
Structure: optimized geometry

## Properties
Formation energy = 0.71 eV/atom
Calculated total energy = -20.7 eV per cell
Fermi-level density of states = 10.4 states/eV/cell
Excess energy over the best structure of this formula in the dataset = 27 kJ/mol of formula units
Calculated density = 3.16 g/cm³
Symmetry = I-42d, No. 122

Structure (POSCAR):
```
BaSr2Ti
1.0
-5.0549 5.0549 3.7082
5.0549 -5.0549 3.7082
5.0549 5.0549 -3.7082
Ba Sr Ti
2 4 2
Direct
0.0000 0.0000 0.0000
0.7500 0.2500 0.5000
0.1748 0.6250 0.0498
0.3750 0.4248 0.5498
0.5752 0.1250 0.9502
0.8750 0.8252 0.4502
0.2500 0.7500 0.5000
0.5000 0.5000 0.0000
```